No. 1
# Ca2AlTe GGA-PBE optimized geometry
# - magnetization (μB per formula unit) = 0.00
# - formation energy without anion corrections (eV/atom) = -0.49
data_Ca2AlTe
_space_group_name_H-M_alt 'F m -3 m'
_space_group_IT_number 225
_space_group_name_Hall '-F 4 2 3'
_cell_length_a 7.703
_cell_length_b 7.703
_cell_length_c 7.703
_cell_angle_alpha 90.00
_cell_angle_beta 90.00
_cell_angle_gamma 90.00
loop_
_atom_site_label
_atom_site_type_symbol
_atom_site_fract_x
_atom_site_fract_y
_atom_site_fract_z
Ca1 Ca 0.250 0.250 0.250
Al1 Al 0.000 0.000 0.000
Te1 Te 0.000 0.000 0.500

=====

No. 2
# Ac4Nd15Sm GGA-PBE optimized geometry
# - magnetization (μB per formula unit) = 0.00
# - ΔE_f (kcal/mol of atoms) = 2.59
data_Ac4Nd15Sm
_space_group_name_H-M_alt 'P 4/m m m'
_space_group_IT_number 123
_space_group_name_Hall '-P 4 2'
_cell_length_a 6.208
_cell_length_b 6.208
_cell_length_c 19.159
_cell_angle_alpha 90.00
_cell_angle_beta 90.00
_cell_angle_gamma 90.00
loop_
_atom_site_label
_atom_site_type_symbol
_atom_site_fract_x
_atom_site_fract_y
_atom_site_fract_z
Ac1 Ac 0.000 0.000 0.102
Ac2 Ac 0.000 0.000 0.305
Nd1 Nd 0.000 0.500 0.000
Nd2 Nd 0.000 0.500 0.202
Nd3 Nd 0.000 0.500 0.405
Nd4 Nd 0.500 0.500 0.100
Nd5 Nd 0.500 0.500 0.298
Nd6 Nd 0.500 0.500 0.500
Sm1 Sm 0.000 0.000 0.500

=====

No. 3
# Sc2Se2S GGA-PBE optimized geometry
# - magnetization (μB per formula unit) = 0.00
# - formation energy without anion corrections (eV/atom) = -1.49
data_Sc2Se2S
_space_group_name_H-M_alt 'P 4/m b m'
_space_group_IT_number 127
_space_group_name_Hall '-P 4 2ab'
_cell_length_a 7.285
_cell_length_b 7.285
_cell_length_c 3.712
_cell_angle_alpha 90.00
_cell_angle_beta 90.00
_cell_angle_gamma 90.00
loop_
_atom_site_label
_atom_site_type_symbol
_atom_site_fract_x
_atom_site_fract_y
_atom_site_fract_z
Sc1 Sc 0.168 0.332 0.000
Se1 Se 0.141 0.641 0.500
S1 S 0.000 0.000 0.000

=====

No. 4
# Li3Np2MnN6 GGA-PBE optimized geometry
# - magnetization (μB per formula unit) = 6.03
# - formation energy without anion corrections (eV/atom) = -0.72
data_Li3Np2MnN6
_space_group_name_H-M_alt 'C 1 2/m 1'
_space_group_IT_number 12
_cell_length_a 5.437
_cell_length_b 10.314
_cell_length_c 5.204
_cell_angle_alpha 90.00
_cell_angle_beta 104.72
_cell_angle_gamma 90.00
loop_
_space_group_symop_operation_xyz
'x,y,z'
'-x,-y,-z'
'-x,y,-z'
'x,-y,z'
'x+1/2,y+1/2,z'
'-x+1/2,-y+1/2,-z'
'-x+1/2,y+1/2,-z'
'x+1/2,-y+1/2,z'
loop_
_atom_site_label
_atom_site_type_symbol
_atom_site_fract_x
_atom_site_fract_y
_atom_site_fract_z
Li1 Li 0.000 0.000 0.000
Li2 Li 0.000 0.362 0.000
Np1 Np 0.000 0.163 0.500
Mn1 Mn 0.000 0.500 0.500
N1 N 0.238 0.000 0.713
N2 N 0.241 0.337 0.713